Record 1
# Ca6Br5Cl7, relaxed, DFT PBE
data_Ca6Br5Cl7
_chemical_formula_sum 'Ca6 Br5 Cl7'
_space_group_name_H-M_alt 'P 1'
_space_group_IT_number 1
_space_group_name_Hall 'P 1'
_cell_length_a 6.637
_cell_length_b 6.637
_cell_length_c 12.826
_cell_angle_alpha 90.00
_cell_angle_beta 90.00
_cell_angle_gamma 86.36
loop_
_atom_site_label
_atom_site_type_symbol
_atom_site_fract_x
_atom_site_fract_y
_atom_site_fract_z
Br1 Br 0.701 0.701 0.168
Cl1 Cl 0.803 0.192 0.335
Cl2 Cl 0.694 0.694 0.500
Ca1 Ca 0.505 0.505 0.662
Br2 Br 0.304 0.304 0.169
Ca2 Ca 0.502 0.502 0.000
Cl3 Cl 0.192 0.803 0.335
Br3 Br 0.701 0.701 0.832
Cl4 Cl 0.803 0.192 0.665
Br4 Br 0.304 0.304 0.831
Br5 Br 0.296 0.296 0.500
Cl5 Cl 0.197 0.809 0.000
Cl6 Cl 0.809 0.197 0.000
Ca3 Ca 0.003 0.003 0.167
Ca4 Ca 0.003 0.003 0.833
Cl7 Cl 0.192 0.803 0.665
Ca5 Ca 0.986 0.986 0.500
Ca6 Ca 0.505 0.505 0.338
# total DFT energy (no corrections) = -4.087 eV/atom
# E_form (uncorrected) = -2.2370 eV per atom

Record 2
# Ca2BrCl, relaxed, DFT PBE
data_Ca2BrCl
_chemical_formula_sum 'Ca2 Br1 Cl1'
_space_group_name_H-M_alt 'P 1'
_space_group_IT_number 1
_space_group_name_Hall 'P 1'
_cell_length_a 6.144
_cell_length_b 6.144
_cell_length_c 6.144
_cell_angle_alpha 144.45
_cell_angle_beta 106.64
_cell_angle_gamma 84.27
loop_
_atom_site_label
_atom_site_type_symbol
_atom_site_fract_x
_atom_site_fract_y
_atom_site_fract_z
Br1 Br 0.250 0.750 0.500
Ca1 Ca 0.989 0.989 0.000
Ca2 Ca 0.511 0.511 0.000
Cl1 Cl 0.750 0.250 0.500
# total DFT energy (no corrections) = -3.210 eV/atom
# E_form (uncorrected) = -1.3297 eV per atom

Record 3
# Ca2CrBrCl, relaxed, DFT PBE
data_Ca2CrBrCl
_chemical_formula_sum 'Ca2 Cr1 Br1 Cl1'
_space_group_name_H-M_alt 'P 1'
_space_group_IT_number 1
_space_group_name_Hall 'P 1'
_cell_length_a 5.856
_cell_length_b 4.547
_cell_length_c 5.856
_cell_angle_alpha 90.00
_cell_angle_beta 90.00
_cell_angle_gamma 90.00
loop_
_atom_site_label
_atom_site_type_symbol
_atom_site_fract_x
_atom_site_fract_y
_atom_site_fract_z
Ca1 Ca 0.000 0.000 0.500
Br1 Br 0.000 0.000 0.000
Ca2 Ca 0.500 0.000 0.000
Cl1 Cl 0.500 0.500 0.500
Cr1 Cr 0.000 0.500 0.000
# total DFT energy (no corrections) = -3.504 eV/atom
# E_form (uncorrected) = -0.0745 eV per atom

Record 4
# Cs2CaBr2Cl2, relaxed, DFT PBE
data_Cs2CaBr2Cl2
_chemical_formula_sum 'Cs2 Ca1 Br2 Cl2'
_space_group_name_H-M_alt 'P 1'
_space_group_IT_number 1
_space_group_name_Hall 'P 1'
_cell_length_a 5.463
_cell_length_b 5.463
_cell_length_c 9.938
_cell_angle_alpha 105.95
_cell_angle_beta 105.95
_cell_angle_gamma 90.00
loop_
_atom_site_label
_atom_site_type_symbol
_atom_site_fract_x
_atom_site_fract_y
_atom_site_fract_z
Br1 Br 0.841 0.841 0.682
Cs1 Cs 0.359 0.359 0.719
Cl1 Cl 0.500 0.000 0.000
Ca1 Ca 0.000 0.000 0.000
Cl2 Cl 0.000 0.500 0.000
Cs2 Cs 0.641 0.641 0.281
Br2 Br 0.159 0.159 0.318
# total DFT energy (no corrections) = -3.621 eV/atom
# E_form (uncorrected) = -2.0851 eV per atom

Record 5
# Cs2CaBr3Cl, relaxed, DFT PBE
data_Cs2CaBr3Cl
_chemical_formula_sum 'Cs2 Ca1 Br3 Cl1'
_space_group_name_H-M_alt 'P 1'
_space_group_IT_number 1
_space_group_name_Hall 'P 1'
_cell_length_a 5.454
_cell_length_b 5.737
_cell_length_c 9.991
_cell_angle_alpha 106.68
_cell_angle_beta 105.84
_cell_angle_gamma 90.00
loop_
_atom_site_label
_atom_site_type_symbol
_atom_site_fract_x
_atom_site_fract_y
_atom_site_fract_z
Cs1 Cs 0.643 0.643 0.286
Cs2 Cs 0.357 0.357 0.714
Ca1 Ca 0.000 0.000 0.000
Br1 Br 0.159 0.159 0.317
Br2 Br 0.841 0.841 0.683
Cl1 Cl 0.500 0.000 0.000
Br3 Br 0.000 0.500 0.000
# total DFT energy (no corrections) = -3.515 eV/atom
# E_form (uncorrected) = -2.0043 eV per atom

Record 6
# Ca2BrClF, relaxed, DFT PBE
data_Ca2BrClF
_chemical_formula_sum 'Ca2 Br1 Cl1 F1'
_space_group_name_H-M_alt 'P 1'
_space_group_IT_number 1
_space_group_name_Hall 'P 1'
_cell_length_a 5.352
_cell_length_b 5.352
_cell_length_c 5.822
_cell_angle_alpha 90.00
_cell_angle_beta 90.00
_cell_angle_gamma 90.00
loop_
_atom_site_label
_atom_site_type_symbol
_atom_site_fract_x
_atom_site_fract_y
_atom_site_fract_z
Cl1 Cl 0.000 0.000 0.000
Ca1 Ca 0.500 0.000 0.000
Br1 Br 0.000 0.000 0.500
Ca2 Ca 0.000 0.500 0.000
F1 F 0.500 0.500 0.500
# total DFT energy (no corrections) = -3.014 eV/atom
# E_form (uncorrected) = -1.1347 eV per atom